Entry from Alexandria via LeMat-Bulk: a geometry-optimized Fe3PbO6 structure (PBE+U).

Cell: 5.3326 5.5951 9.4789 Å, 90.00 122.26 90.00°
Closest atoms and distances in Å follow each position.
Fractional positions:
Fe1 0.0000 0.0000 0.0000  4 O 1.90-2.01
Fe2 0.0000 0.5000 0.5000  4 O 1.90-2.01
Fe3 0.2707 0.0201 0.7902  5 O 1.92-2.12
Fe4 0.2707 0.4799 0.2902  5 O 1.92-2.12
Fe5 0.7293 0.5201 0.7098  5 O 1.92-2.12
Fe6 0.7293 0.9799 0.2098  5 O 1.92-2.12
Pb1 0.5000 0.0000 0.5000  4 O 2.26-2.33
Pb2 0.5000 0.5000 0.0000  4 O 2.26-2.33
O1 0.0582 0.1556 0.2069  3 Fe 2.01-2.06
O2 0.0582 0.3444 0.7069  3 Fe 2.01-2.06
O3 0.2917 0.6854 0.1343  1 Fe 1.92
O4 0.2917 0.8146 0.6343  1 Fe 1.92
O5 0.3472 0.1331 0.0235  3 Fe 1.90-2.12
O6 0.3472 0.3669 0.5235  3 Fe 1.90-2.12
O7 0.6528 0.6331 0.4765  3 Fe 1.90-2.12
O8 0.6528 0.8669 0.9765  3 Fe 1.90-2.12
O9 0.7083 0.1854 0.3657  1 Fe 1.92
O10 0.7083 0.3146 0.8657  1 Fe 1.92
O11 0.9418 0.6556 0.2931  3 Fe 2.01-2.06
O12 0.9418 0.8444 0.7931  3 Fe 2.01-2.06

Results
Theoretical density (Mg/m³): 6.5
Uncorrected energy (eV/cell): -122.29